Computed, not measured: a relaxed structure of ZrCrAs2O8 at the PBE with a Hubbard U level of DFT.

Theoretical density: 4.76 g/cm3
Raw total energy: -7.21 eV per atom

abc: 6.8371 6.8371 6.2782
angles: 90.00 90.00 90.00
Space group I-4m2 (No. 119)
Asymmetric unit:
1 Zr 0.0000 0.0000 0.0000
2 Cr 0.0000 0.5000 0.2500
3 As 0.0000 0.0000 0.5000
4 As 0.0000 0.5000 0.7500
5 O 0.0000 0.1842 0.3106
6 O 0.0000 0.3070 0.9235